Entry A
This record from Alexandria via LeMat-Bulk describes TlTcAg after structural relaxation. The functional is PBE.

The total moment is 8.5 Bohr magnetons per cell. The value obtained for the calculated volume is 22.63 Å³ per atom.

It has space group F-43m (No. 216), with a = 6.476 Å, b = 6.476 Å, c = 6.476 Å, α = 90.00°, β = 90.00° and γ = 90.00°. The asymmetric unit holds Tl at (0.000, 0.000, 0.000), Tc at (0.250, 0.250, 0.250) and Ag at (0.000, 0.000, 0.500).

=====

Entry B
This record from Alexandria via LeMat-Bulk describes TlTcAg after structural relaxation. The functional is PBE.

The total moment is 0.0 Bohr magnetons per cell. The value obtained for the calculated volume is 18.49 Å³ per atom.

It has space group Imm2 (No. 44), with a = 2.869 Å, b = 4.323 Å, c = 8.946 Å, α = 90.00°, β = 90.00° and γ = 90.00°. The asymmetric unit holds Tl at (0.000, 0.000, 0.000), Tc at (0.000, 0.000, 0.331) and Ag at (0.000, 0.000, 0.675).

=====

Entry C
This record from Alexandria via LeMat-Bulk describes TlTcAg after structural relaxation. The functional is PBE.

The total moment is 0.0 Bohr magnetons per cell. The value obtained for the calculated volume is 19.04 Å³ per atom.

It has space group Fmm2 (No. 42), with a = 3.372 Å, b = 4.676 Å, c = 14.492 Å, α = 90.00°, β = 90.00° and γ = 90.00°. The asymmetric unit holds Tl at (0.000, 0.000, 0.000), Tc at (0.000, 0.000, 0.665) and Ag at (0.000, 0.000, 0.320).

=====

Top of the stability list: entry C, leading by 0.050 eV/atom.

=====

Entry A
This record from Alexandria via LeMat-Bulk describes TlTc2Ag after structural relaxation. The functional is PBE.

The total moment is 0.0 Bohr magnetons per cell. The value obtained for the calculated volume is 18.11 Å³ per atom.

It has space group P2/m (No. 10), with a = 3.076 Å, b = 4.975 Å, c = 4.737 Å, α = 90.00°, β = 92.16° and γ = 90.00°. The asymmetric unit holds Tl at (0.000, 0.000, 0.000), Tc at (0.179, 0.500, 0.281) and Ag at (0.500, 0.000, 0.500).

=====

Entry B
This record from Alexandria via LeMat-Bulk describes TlTc2Ag after structural relaxation. The functional is PBE.

The total moment is 0.0 Bohr magnetons per cell. The value obtained for the calculated volume is 17.29 Å³ per atom.

It has space group Immm (No. 71), with a = 3.249 Å, b = 4.459 Å, c = 9.549 Å, α = 90.00°, β = 90.00° and γ = 90.00°. The asymmetric unit holds Tl at (0.000, 0.000, 0.000), Tc at (0.000, 0.500, 0.253) and Ag at (0.000, 0.000, 0.500).

=====

Top of the stability list: entry A, leading by 0.033 eV/atom.

=====

Entry A
This record from Alexandria via LeMat-Bulk describes Tm4TcAg after structural relaxation. The functional is PBE.

The total moment is 0.0 Bohr magnetons per cell. The value obtained for the calculated volume is 25.61 Å³ per atom.

It has space group C2/c (No. 15), with a = 8.291 Å, b = 12.360 Å, c = 6.230 Å, α = 90.00°, β = 105.65° and γ = 90.00°. The asymmetric unit holds Tm at (0.103, 0.173, 0.042), Tm at (0.214, 0.422, 0.408), Tc at (0.000, 0.001, 0.250) and Ag at (0.000, 0.373, 0.750).

=====

Entry B
This record from Alexandria via LeMat-Bulk describes Tm4TcAg after structural relaxation. The functional is PBE.

The total moment is 0.0 Bohr magnetons per cell. The value obtained for the calculated volume is 27.14 Å³ per atom.

It has space group R-3m (No. 166, hexagonal axes), with a = 5.0026 Å, b = 5.0026 Å, c = 22.5342 Å, α = 90.00°, β = 90.00° and γ = 120.00°. The asymmetric unit holds Tm at (0.0000, 0.0000, 0.1201), Tm at (0.0000, 0.0000, 0.3662), Tc at (0.0000, 0.0000, 0.0000) and Ag at (0.0000, 0.0000, 0.5000).

=====

Top of the stability list: entry A, leading by 0.195 eV/atom.

=====

Entry A
This record from Alexandria via LeMat-Bulk describes TcAgW2 after structural relaxation. The functional is PBE.

The total moment is 0.0 Bohr magnetons per cell. The value obtained for the calculated volume is 16.24 Å³ per atom.

It has space group Cmm2 (No. 35), with a = 3.179 Å, b = 4.436 Å, c = 9.213 Å, α = 90.00°, β = 90.00° and γ = 90.00°. The asymmetric unit holds Tc at (0.000, 0.000, 0.000), Ag at (0.000, 0.500, 0.737), W at (0.000, 0.000, 0.474) and W at (0.000, 0.500, 0.232).

=====

Entry B
This record from Alexandria via LeMat-Bulk describes TcAgW2 after structural relaxation. The functional is PBE.

The total moment is 0.0 Bohr magnetons per cell. The value obtained for the calculated volume is 16.17 Å³ per atom.

It has space group Cmmm (No. 65), with a = 3.164 Å, b = 4.432 Å, c = 9.226 Å, α = 90.00°, β = 90.00° and γ = 90.00°. The asymmetric unit holds Tc at (0.000, 0.000, 0.000), Ag at (0.000, 0.000, 0.500) and W at (0.000, 0.500, 0.236).

=====

Top of the stability list: entry A, leading by 0.075 eV/atom.

=====

Entry A
This record from Alexandria via LeMat-Bulk describes Tc2AgW2 after structural relaxation. The functional is PBE.

The total moment is 0.0 Bohr magnetons per cell. The value obtained for the calculated volume is 19.05 Å³ per atom.

It has space group I4/mmm (No. 139), with a = 4.169 Å, b = 4.169 Å, c = 10.961 Å, α = 90.00°, β = 90.00° and γ = 90.00°. The asymmetric unit holds Tc at (0.000, 0.500, 0.250), Ag at (0.000, 0.000, 0.000) and W at (0.000, 0.000, 0.377).

=====

Entry B
This record from Alexandria via LeMat-Bulk describes Tc2AgW2 after structural relaxation. The functional is PBE.

The total moment is 0.0 Bohr magnetons per cell. The value obtained for the calculated volume is 16.66 Å³ per atom.

It has space group P4/mbm (No. 127), with a = 7.537 Å, b = 7.537 Å, c = 2.933 Å, α = 90.00°, β = 90.00° and γ = 90.00°. The asymmetric unit holds Tc at (0.144, 0.356, 0.000), Ag at (0.000, 0.000, 0.000) and W at (0.152, 0.652, 0.500).

=====

Top of the stability list: entry B, leading by 0.380 eV/atom.

=====

Entry A
This record from Alexandria via LeMat-Bulk describes Tc3AgW after structural relaxation. The functional is PBE.

The total moment is 2.6 Bohr magnetons per cell. The value obtained for the calculated volume is 21.01 Å³ per atom.

It has space group Pm-3m (No. 221), with a = 4.719 Å, b = 4.719 Å, c = 4.719 Å, α = 90.00°, β = 90.00° and γ = 90.00°. The asymmetric unit holds Tc at (0.000, 0.000, 0.500), Ag at (0.500, 0.500, 0.500) and W at (0.000, 0.000, 0.000).

=====

Entry B
This record from Alexandria via LeMat-Bulk describes Tc3AgW after structural relaxation. The functional is PBE.

The total moment is 0.0 Bohr magnetons per cell. The value obtained for the calculated volume is 19.90 Å³ per atom.

It has space group Pm-3m (No. 221), with a = 4.634 Å, b = 4.634 Å, c = 4.634 Å, α = 90.00°, β = 90.00° and γ = 90.00°. The asymmetric unit holds Tc at (0.000, 0.000, 0.500), Ag at (0.000, 0.000, 0.000) and W at (0.500, 0.500, 0.500).

=====

Top of the stability list: entry A, leading by 1.081 eV/atom.

=====

Entry A
This record from Alexandria via LeMat-Bulk describes TcAg2W2 after structural relaxation. The functional is PBE.

The total moment is 0.0 Bohr magnetons per cell. The value obtained for the calculated volume is 18.29 Å³ per atom.

It has space group P4/mbm (No. 127), with a = 6.347 Å, b = 6.347 Å, c = 4.539 Å, α = 90.00°, β = 90.00° and γ = 90.00°. The asymmetric unit holds Tc at (0.000, 0.000, 0.000), Ag at (0.165, 0.335, 0.500) and W at (0.138, 0.638, 0.000).

=====

Entry B
This record from Alexandria via LeMat-Bulk describes TcAg2W2 after structural relaxation. The functional is PBE.

The total moment is 0.4 Bohr magnetons per cell. The value obtained for the calculated volume is 18.33 Å³ per atom.

It has space group I4/mmm (No. 139), with a = 3.588 Å, b = 3.588 Å, c = 14.242 Å, α = 90.00°, β = 90.00° and γ = 90.00°. The asymmetric unit holds Tc at (0.000, 0.000, 0.000), Ag at (0.000, 0.500, 0.250) and W at (0.000, 0.000, 0.418).

=====

Top of the stability list: entry A, leading by 0.027 eV/atom.

=====

Entry A
This record from Alexandria via LeMat-Bulk describes YTcAg2 after structural relaxation. The functional is PBE.

The total moment is 5.1 Bohr magnetons per cell. The value obtained for the calculated volume is 20.92 Å³ per atom.

It has space group I-42d (No. 122), with a = 4.003 Å, b = 4.003 Å, c = 20.889 Å, α = 90.00°, β = 90.00° and γ = 90.00°. The asymmetric unit holds Y at (0.000, 0.000, 0.000), Tc at (0.000, 0.000, 0.500) and Ag at (0.234, 0.250, 0.625).

=====

Entry B
This record from Alexandria via LeMat-Bulk describes YTcAg2 after structural relaxation. The functional is PBE.

The total moment is 5.4 Bohr magnetons per cell. The value obtained for the calculated volume is 19.80 Å³ per atom.

It has space group Fm-3m (No. 225), with a = 6.817 Å, b = 6.817 Å, c = 6.817 Å, α = 90.00°, β = 90.00° and γ = 90.00°. The asymmetric unit holds Y at (0.000, 0.000, 0.000), Tc at (0.000, 0.000, 0.500) and Ag at (0.250, 0.250, 0.250).

=====

Entry C
This record from Alexandria via LeMat-Bulk describes YTcAg2 after structural relaxation. The functional is PBE.

The total moment is 7.3 Bohr magnetons per cell. The value obtained for the calculated volume is 19.61 Å³ per atom.

It has space group F-43m (No. 216), with a = 6.795 Å, b = 6.795 Å, c = 6.795 Å, α = 90.00°, β = 90.00° and γ = 90.00°. The asymmetric unit holds Y at (0.000, 0.000, 0.000), Tc at (0.250, 0.250, 0.750), Ag at (0.000, 0.000, 0.500) and Ag at (0.250, 0.250, 0.250).

=====

Top of the stability list: entry B, leading by 0.039 eV/atom.

=====

Entry A
This record from Alexandria via LeMat-Bulk describes Y8TcAg2 after structural relaxation. The functional is PBE.

The total moment is 0.0 Bohr magnetons per cell. The value obtained for the calculated volume is 27.36 Å³ per atom.

It has space group C2/m (No. 12), with a = 17.410 Å, b = 5.256 Å, c = 6.927 Å, α = 90.00°, β = 108.26° and γ = 90.00°. The asymmetric unit holds Y at (0.027, 0.000, 0.295), Y at (0.091, 0.500, 0.931), Y at (0.161, 0.500, 0.464), Y at (0.196, 0.000, 0.800), Tc at (0.000, 0.500, 0.500) and Ag at (0.184, 0.000, 0.208).

=====

Entry B
This record from Alexandria via LeMat-Bulk describes Y8TcAg2 after structural relaxation. The functional is PBE.

The total moment is 0.0 Bohr magnetons per cell. The value obtained for the calculated volume is 28.34 Å³ per atom.

It has space group Cm (No. 8), with a = 7.101 Å, b = 17.630 Å, c = 5.591 Å, α = 90.00°, β = 117.02° and γ = 90.00°. The asymmetric unit holds Y at (0.000, 0.000, 0.000), Y at (0.005, 0.500, 0.279), Y at (0.042, 0.384, 0.801), Y at (0.252, 0.194, 0.139), Y at (0.463, 0.384, 0.478), Tc at (0.252, 0.000, 0.640) and Ag at (0.252, 0.261, 0.639).

=====

Top of the stability list: entry A, leading by 0.050 eV/atom.

=====

Entry A
This record from Alexandria via LeMat-Bulk describes ZnTc2Ag2 after structural relaxation. The functional is PBE.

The total moment is 0.0 Bohr magnetons per cell. The value obtained for the calculated volume is 17.50 Å³ per atom.

It has space group P4/mbm (No. 127), with a = 6.491 Å, b = 6.491 Å, c = 4.153 Å, α = 90.00°, β = 90.00° and γ = 90.00°. The asymmetric unit holds Zn at (0.000, 0.000, 0.000), Tc at (0.120, 0.380, 0.000) and Ag at (0.181, 0.681, 0.500).

=====

Entry B
This record from Alexandria via LeMat-Bulk describes ZnTc2Ag2 after structural relaxation. The functional is PBE.

The total moment is 0.0 Bohr magnetons per cell. The value obtained for the calculated volume is 17.82 Å³ per atom.

It has space group I4/mmm (No. 139), with a = 3.680 Å, b = 3.680 Å, c = 13.163 Å, α = 90.00°, β = 90.00° and γ = 90.00°. The asymmetric unit holds Zn at (0.000, 0.000, 0.000), Tc at (0.000, 0.000, 0.416) and Ag at (0.000, 0.500, 0.250).

=====

Top of the stability list: entry A, leading by 0.132 eV/atom.

=====

Entry A
This record from Alexandria via LeMat-Bulk describes Zn2Tc2Ag after structural relaxation. The functional is PBE.

The total moment is 0.0 Bohr magnetons per cell. The value obtained for the calculated volume is 16.11 Å³ per atom.

It has space group P4/mbm (No. 127), with a = 7.596 Å, b = 7.596 Å, c = 2.792 Å, α = 90.00°, β = 90.00° and γ = 90.00°. The asymmetric unit holds Zn at (0.184, 0.316, 0.000), Tc at (0.109, 0.609, 0.500) and Ag at (0.000, 0.000, 0.000).

=====

Entry B
This record from Alexandria via LeMat-Bulk describes Zn2Tc2Ag after structural relaxation. The functional is PBE.

The total moment is 0.0 Bohr magnetons per cell. The value obtained for the calculated volume is 16.63 Å³ per atom.

It has space group I4/mmm (No. 139), with a = 3.530 Å, b = 3.530 Å, c = 13.347 Å, α = 90.00°, β = 90.00° and γ = 90.00°. The asymmetric unit holds Zn at (0.000, 0.000, 0.096), Tc at (0.000, 0.500, 0.250) and Ag at (0.000, 0.000, 0.500).

=====

Top of the stability list: entry A, leading by 0.067 eV/atom.

=====

Entry A
This record from Alexandria via LeMat-Bulk describes ZrTc3Ag after structural relaxation. The functional is PBE.

The total moment is 2.9 Bohr magnetons per cell. The value obtained for the calculated volume is 21.81 Å³ per atom.

It has space group Pm-3m (No. 221), with a = 4.778 Å, b = 4.778 Å, c = 4.778 Å, α = 90.00°, β = 90.00° and γ = 90.00°. The asymmetric unit holds Zr at (0.000, 0.000, 0.000), Tc at (0.000, 0.000, 0.500) and Ag at (0.500, 0.500, 0.500).

=====

Entry B
This record from Alexandria via LeMat-Bulk describes ZrTc3Ag after structural relaxation. The functional is PBE.

The total moment is 3.9 Bohr magnetons per cell. The value obtained for the calculated volume is 21.41 Å³ per atom.

It has space group Pm-3m (No. 221), with a = 4.749 Å, b = 4.749 Å, c = 4.749 Å, α = 90.00°, β = 90.00° and γ = 90.00°. The asymmetric unit holds Zr at (0.000, 0.000, 0.000), Tc at (0.000, 0.500, 0.500) and Ag at (0.500, 0.500, 0.500).

=====

Top of the stability list: entry A, leading by 0.129 eV/atom.